[1]
RbHoS4: relaxed, PBE.

Formation energy without anion corrections   -117 kJ per mole of atoms
Energy   -29.30 eV/f.u.

a = 5.945 Å, b = 5.945 Å, c = 8.310 Å
α = 90.00°, β = 90.00°, γ = 90.00°
Space group P4/nbm (No. 125, origin choice 2)
Unique sites:
Rb  0.250  0.250  0.000 (multiplicity 2)
Ho  0.250  0.250  0.500 (multiplicity 2)
S  0.124  0.624  0.306 (multiplicity 8)

[2]
RbHoS: relaxed, PBE.

Formation energy without anion corrections   -55 kJ per mole of atoms
Energy   -11.38 eV/f.u.

a = 16.093 Å, b = 3.847 Å, c = 6.606 Å
α = 90.00°, β = 90.00°, γ = 90.00°
Space group Amm2 (No. 38)
Unique sites:
Rb  0.134  0.000  0.000 (multiplicity 4)
Ho  0.391  0.000  0.556 (multiplicity 4)
S  0.000  0.000  0.664 (multiplicity 2)
S  0.500  0.000  0.891 (multiplicity 2)

[3]
Rb4Ho3SbS8: relaxed, PBE.

Formation energy without anion corrections   -150 kJ per mole of atoms
Energy   -79.70 eV/f.u.

a = 8.1623 Å, b = 8.1623 Å, c = 22.9853 Å
α = 90.00°, β = 90.00°, γ = 120.00°
Space group R-3m (No. 166, hexagonal axes)
Unique sites:
Rb  0.0000  0.0000  0.0000 (multiplicity 3)
Rb  0.0000  0.5000  0.0000 (multiplicity 9)
Ho  0.0000  0.5000  0.5000 (multiplicity 9)
Sb  0.0000  0.0000  0.5000 (multiplicity 3)
S  0.0000  0.0000  0.2304 (multiplicity 6)
S  0.0031  0.5016  0.7695 (multiplicity 18)

[4]
Rb2HoSb2S6: relaxed, PBE.

Formation energy without anion corrections   -82 kJ per mole of atoms
Energy   -48.91 eV/f.u.

a = 12.112 Å, b = 7.428 Å, c = 8.653 Å
α = 90.00°, β = 116.06°, γ = 90.00°
Space group C2/m (No. 12)
Unique sites:
Rb  0.197  0.000  0.162 (multiplicity 4)
Ho  0.000  0.000  0.500 (multiplicity 2)
Sb  0.058  0.500  0.207 (multiplicity 4)
S  0.053  0.239  0.769 (multiplicity 8)
S  0.238  0.000  0.563 (multiplicity 4)